No. 1
Computed, not measured: an optimized crystal structure of ZnAg2Au2 at the PBE level of DFT.

Cell lengths 6.977, 6.977, 3.860 Å; angles 90.00, 90.00, 90.00 degrees
Element x y z (fractional)
Zn  0.000  0.000  0.000
Zn  0.500  0.500  0.000
Ag  0.145  0.355  0.000
Ag  0.355  0.855  0.000
Ag  0.645  0.145  0.000
Ag  0.855  0.645  0.000
Au  0.155  0.655  0.500
Au  0.345  0.155  0.500
Au  0.655  0.845  0.500
Au  0.845  0.345  0.500

Computed properties:
- Symmetry: P4/mbm, No. 127
- Calculated formation energy: 0.080 eV per atom
- Calculated volume: 18.79 Å³ per atom
- Excess energy over the best structure of this formula in the dataset: 167 meV per atom


No. 2
Computed, not measured: an optimized crystal structure of Ta2Ti2Al3 at the PBE level of DFT.

Cell lengths 9.912, 9.912, 2.767 Å; angles 90.00, 90.00, 154.08 degrees
Element x y z (fractional)
Ta  0.209  0.791  0.000
Ta  0.791  0.209  0.000
Ti  0.070  0.930  0.000
Ti  0.930  0.070  0.000
Al  0.352  0.648  0.500
Al  0.500  0.500  0.500
Al  0.648  0.352  0.500

Computed properties:
- Symmetry: Cmmm, No. 65
- Calculated formation energy: -0.190 eV per atom
- Calculated volume: 16.98 Å³ per atom


No. 3
Computed, not measured: an optimized crystal structure of TmSi4 at the PBE level of DFT.

Cell lengths 5.194, 5.194, 5.194 Å; angles 90.00, 90.00, 90.00 degrees
Element x y z (fractional)
Tm  0.000  0.000  0.000
Si  0.000  0.000  0.500
Si  0.000  0.500  0.000
Si  0.500  0.000  0.000
Si  0.500  0.500  0.500

Computed properties:
- Symmetry: Pm-3m, No. 221
- Calculated volume: 28.02 Å³ per atom
- Formation energy from raw total energies: 1.402 eV per atom


No. 4
Computed, not measured: an optimized crystal structure of TaHgCl at the PBE level of DFT.

Cell lengths 4.554, 4.554, 4.554 Å; angles 60.00, 60.00, 60.00 degrees
Element x y z (fractional)
Ta  0.000  0.000  0.000
Hg  0.250  0.250  0.250
Cl  0.750  0.750  0.750

Computed properties:
- Symmetry: F-43m, No. 216
- Calculated volume: 22.26 Å³ per atom
- Formation energy from raw total energies: 0.863 eV per atom
- Excess energy over the best structure of this formula in the dataset: 1051 meV per atom


No. 5
Computed, not measured: an optimized crystal structure of CaSbMoI2 at the PBE level of DFT.

Cell lengths 5.618, 5.618, 5.375 Å; angles 90.00, 90.00, 90.00 degrees
Element x y z (fractional)
Ca  0.000  0.000  0.000
Sb  0.500  0.500  0.000
Mo  0.500  0.500  0.500
I  0.000  0.500  0.500
I  0.500  0.000  0.500

Computed properties:
- Symmetry: P4/mmm, No. 123
- Calculated volume: 33.93 Å³ per atom
- Formation energy from raw total energies: 0.078 eV per atom
- Excess energy over the best structure of this formula in the dataset: 0 meV per atom


No. 6
Computed, not measured: an optimized crystal structure of YMn2Cd at the PBE level of DFT.

Cell lengths 4.873, 4.873, 4.873 Å; angles 60.00, 60.00, 60.00 degrees
Element x y z (fractional)
Y  0.000  0.000  0.000
Mn  0.250  0.250  0.250
Mn  0.500  0.500  0.500
Cd  0.750  0.750  0.750

Computed properties:
- Symmetry: F-43m, No. 216
- Calculated formation energy: 0.290 eV per atom
- Calculated volume: 20.45 Å³ per atom
- Excess energy over the best structure of this formula in the dataset: 200 meV per atom


No. 7
Computed, not measured: an optimized crystal structure of LaHgI at the PBE level of DFT.

Cell lengths 4.513, 4.513, 13.104 Å; angles 90.12, 90.12, 59.70 degrees
Element x y z (fractional)
La  0.000  0.000  0.000
La  0.671  0.671  0.395
Hg  0.337  0.337  0.254
Hg  0.668  0.668  0.135
I  0.004  0.004  0.551
I  0.332  0.332  0.844

Computed properties:
- Symmetry: Cm, No. 8
- Calculated volume: 38.40 Å³ per atom
- Formation energy from raw total energies: -0.870 eV per atom
- Excess energy over the best structure of this formula in the dataset: 23 meV per atom


No. 8
Computed, not measured: an optimized crystal structure of Ca2PaAg at the PBE level of DFT.

Cell lengths 11.762, 11.762, 11.762 Å; angles 16.28, 16.28, 16.28 degrees
Element x y z (fractional)
Ca  0.096  0.096  0.096
Ca  0.904  0.904  0.904
Pa  0.000  0.000  0.000
Ag  0.500  0.500  0.500

Computed properties:
- Symmetry: R-3m, No. 166
- Calculated formation energy: 0.368 eV per atom
- Calculated volume: 27.89 Å³ per atom


No. 9
Computed, not measured: an optimized crystal structure of NbCoTcSn at the PBE level of DFT.

Cell lengths 4.476, 4.476, 4.476 Å; angles 60.00, 60.00, 60.00 degrees
Element x y z (fractional)
Nb  0.000  0.000  0.000
Co  0.250  0.250  0.250
Tc  0.750  0.750  0.750
Sn  0.500  0.500  0.500

Computed properties:
- Symmetry: F-43m, No. 216
- Calculated formation energy: -0.107 eV per atom
- Calculated volume: 15.85 Å³ per atom


No. 10
Computed, not measured: an optimized crystal structure of CaAl2FeRe at the PBE level of DFT.

Cell lengths 4.498, 4.498, 4.645 Å; angles 90.00, 90.00, 90.00 degrees
Element x y z (fractional)
Ca  0.000  0.000  0.000
Al  0.000  0.500  0.500
Al  0.500  0.000  0.500
Fe  0.500  0.500  0.500
Re  0.500  0.500  0.000

Computed properties:
- Symmetry: P4/mmm, No. 123
- Calculated formation energy: 0.314 eV per atom
- Calculated volume: 18.79 Å³ per atom


No. 11
Computed, not measured: an optimized crystal structure of Zr2ZnW2 at the PBE level of DFT.

Cell lengths 8.012, 8.012, 8.012 Å; angles 153.33, 153.33, 38.08 degrees
Element x y z (fractional)
Zr  0.099  0.099  0.000
Zr  0.901  0.901  0.000
Zn  0.500  0.500  0.000
W  0.250  0.750  0.500
W  0.750  0.250  0.500

Computed properties:
- Symmetry: I4/mmm, No. 139
- Calculated formation energy: 0.538 eV per atom
- Calculated volume: 20.69 Å³ per atom
- Excess energy over the best structure of this formula in the dataset: 0 meV per atom


No. 12
Computed, not measured: an optimized crystal structure of Sc3TcRh at the PBE level of DFT.

Cell lengths 4.833, 4.833, 4.833 Å; angles 90.00, 90.00, 90.00 degrees
Element x y z (fractional)
Sc  0.000  0.000  0.500
Sc  0.000  0.500  0.000
Sc  0.500  0.000  0.000
Tc  0.000  0.000  0.000
Rh  0.500  0.500  0.500

Computed properties:
- Symmetry: Pm-3m, No. 221
- Calculated formation energy: 0.285 eV per atom
- Calculated volume: 22.57 Å³ per atom
- Excess energy over the best structure of this formula in the dataset: 0 meV per atom


No. 13
Computed, not measured: an optimized crystal structure of KTcAsSe2 at the PBE level of DFT.

Cell lengths 5.511, 5.511, 5.295 Å; angles 90.00, 90.00, 90.00 degrees
Element x y z (fractional)
K  0.000  0.000  0.000
Tc  0.500  0.500  0.500
As  0.000  0.000  0.500
Se  0.000  0.500  0.000
Se  0.500  0.000  0.000

Computed properties:
- Symmetry: P4/mmm, No. 123
- Calculated volume: 32.16 Å³ per atom
- Formation energy from raw total energies: 1.764 eV per atom
- Excess energy over the best structure of this formula in the dataset: 1853 meV per atom


No. 14
Computed, not measured: an optimized crystal structure of PdSBr3 at the PBE level of DFT.

Cell lengths 8.012, 8.012, 12.867 Å; angles 90.44, 90.44, 126.76 degrees
Element x y z (fractional)
Pd  0.005  0.860  0.616
Pd  0.140  0.995  0.884
Pd  0.860  0.005  0.116
Pd  0.995  0.140  0.384
S  0.206  0.753  0.823
S  0.247  0.794  0.677
S  0.753  0.206  0.323
S  0.794  0.247  0.177
Br  0.005  0.791  0.047
Br  0.205  0.256  0.219
Br  0.209  0.995  0.453
Br  0.245  0.487  0.462
Br  0.256  0.205  0.719
Br  0.487  0.245  0.962
Br  0.513  0.755  0.038
Br  0.744  0.795  0.281
Br  0.755  0.513  0.538
Br  0.791  0.005  0.547
Br  0.795  0.744  0.781
Br  0.995  0.209  0.953

Computed properties:
- Symmetry: C2/c, No. 15
- Calculated volume: 33.08 Å³ per atom
- Formation energy from raw total energies: -0.144 eV per atom
- Excess energy over the best structure of this formula in the dataset: 0 meV per atom


No. 15
Computed, not measured: an optimized crystal structure of LaCrPt2 at the PBE level of DFT.

Cell lengths 5.601, 5.601, 5.601 Å; angles 46.63, 46.63, 46.63 degrees
Element x y z (fractional)
La  0.000  0.000  0.000
Cr  0.500  0.500  0.500
Pt  0.207  0.207  0.207
Pt  0.793  0.793  0.793

Computed properties:
- Symmetry: R-3m, No. 166
- Calculated formation energy: -0.660 eV per atom
- Calculated volume: 21.21 Å³ per atom
- Excess energy over the best structure of this formula in the dataset: 0 meV per atom


No. 16
Computed, not measured: an optimized crystal structure of ScBeHg2 at the PBE level of DFT.

Cell lengths 5.526, 5.526, 5.526 Å; angles 143.05, 129.38, 64.30 degrees
Element x y z (fractional)
Sc  0.000  0.000  0.000
Be  0.234  0.734  0.500
Hg  0.428  0.428  0.000
Hg  0.713  0.213  0.500

Computed properties:
- Symmetry: Imm2, No. 44
- Calculated formation energy: 0.103 eV per atom
- Calculated volume: 19.36 Å³ per atom


No. 17
Computed, not measured: an optimized crystal structure of YHf3Te at the PBE level of DFT.

Cell lengths 5.265, 5.265, 5.265 Å; angles 90.00, 90.00, 90.00 degrees
Element x y z (fractional)
Y  0.000  0.000  0.000
Hf  0.000  0.500  0.500
Hf  0.500  0.000  0.500
Hf  0.500  0.500  0.000
Te  0.500  0.500  0.500

Computed properties:
- Symmetry: Pm-3m, No. 221
- Calculated volume: 29.18 Å³ per atom
- Formation energy from raw total energies: 0.516 eV per atom
- Excess energy over the best structure of this formula in the dataset: 0 meV per atom


No. 18
Computed, not measured: an optimized crystal structure of DyP2Pd2 at the PBE level of DFT.

Cell lengths 5.730, 5.730, 5.730 Å; angles 138.04, 138.04, 60.85 degrees
Element x y z (fractional)
Dy  0.000  0.000  0.000
P  0.389  0.389  0.000
P  0.611  0.611  0.000
Pd  0.250  0.750  0.500
Pd  0.750  0.250  0.500

Computed properties:
- Symmetry: I4/mmm, No. 139
- Calculated formation energy: -0.925 eV per atom
- Calculated volume: 16.64 Å³ per atom


No. 19
Computed, not measured: an optimized crystal structure of Ce2ThFeBi at the PBE level of DFT.

Cell lengths 8.246, 8.246, 8.907 Å; angles 90.00, 90.00, 153.36 degrees
Element x y z (fractional)
Ce  0.139  0.861  0.585
Ce  0.139  0.861  0.915
Ce  0.861  0.139  0.085
Ce  0.861  0.139  0.415
Th  0.454  0.546  0.750
Th  0.546  0.454  0.250
Fe  0.000  0.000  0.000
Fe  0.000  0.000  0.500
Bi  0.220  0.780  0.250
Bi  0.780  0.220  0.750

Computed properties:
- Symmetry: Cmcm, No. 63
- Calculated formation energy: -0.207 eV per atom
- Calculated volume: 27.16 Å³ per atom


No. 20
Computed, not measured: an optimized crystal structure of AgBPd3 at the PBE level of DFT.

Cell lengths 3.039, 5.083, 5.083 Å; angles 68.16, 90.00, 90.00 degrees
Element x y z (fractional)
Ag  0.000  0.000  0.000
B  0.000  0.717  0.717
Pd  0.000  0.477  0.477
Pd  0.500  0.490  0.993
Pd  0.500  0.993  0.490

Computed properties:
- Symmetry: Amm2, No. 38
- Calculated formation energy: -0.145 eV per atom
- Calculated volume: 14.58 Å³ per atom
- Excess energy over the best structure of this formula in the dataset: 10 meV per atom


Number 1: theoretical density 11.932 g/cm3. Number 2: theoretical density 7.524 g/cm3. Number 3: theoretical density 3.334 g/cm3. Number 4: theoretical density 10.369 g/cm3. Number 5: theoretical density 5.007 g/cm3. Number 6: theoretical density 6.316 g/cm3. Number 7: theoretical density 6.722 g/cm3. Number 8: theoretical density 6.238 g/cm3. Number 9: theoretical density 9.652 g/cm3. Number 10: theoretical density 5.939 g/cm3. Number 11: theoretical density 9.879 g/cm3. Number 12: theoretical density 4.941 g/cm3. Number 13: theoretical density 3.820 g/cm3. Number 14: theoretical density 3.797 g/cm3. Number 15: theoretical density 11.375 g/cm3. Number 16: theoretical density 9.761 g/cm3. Number 17: theoretical density 8.558 g/cm3. Number 18: theoretical density 8.726 g/cm3. Number 19: theoretical density 9.501 g/cm3. Number 20: theoretical density 9.978 g/cm3.